DFT (GGA-PBE) results for crystalline AcUP2Pd2 at its relaxed geometry.

Lattice parameters (Å, degrees): 4.217 4.217 8.139 90.00 90.00 120.00
Site moments in Bohr magnetons follow the coordinates.
Atoms (fractional coordinates):
U: 0.000 0.000 0.500  2.24
Ac: 0.000 0.000 0.000  0.03
Pd: 0.667 0.333 0.258  -0.01
P: 0.333 0.667 0.292  -0.04
Pd: 0.333 0.667 0.742  -0.01
P: 0.667 0.333 0.708  -0.04

Computed properties:
Energy relative to the elements: -0.952 eV per atom
Crystal system: trigonal
Calculated total energy: -42.31 eV/cell


DFT (GGA-PBE) results for crystalline Sr2LiPbAu6 at its relaxed geometry.

Lattice parameters (Å, degrees): 7.461 7.154 7.452 81.18 43.52 97.59
Atoms (fractional coordinates):
Au: 0.768 0.248 0.019
Li: 0.000 0.000 0.000
Au: 0.734 0.753 0.479
Au: 0.238 0.072 0.165
Au: 0.762 0.928 0.835
Sr: 0.746 0.279 0.467
Au: 0.266 0.247 0.521
Au: 0.232 0.752 0.981
Pb: 0.500 0.500 0.000
Sr: 0.254 0.721 0.533

Computed properties:
Energy relative to the elements: -0.437 eV per atom
Crystal system: triclinic
Calculated total energy: -33.02 eV/cell


DFT (GGA-PBE) results for crystalline Ce3Pb4 at its relaxed geometry.

Lattice parameters (Å, degrees): 6.745 8.802 8.802 113.71 104.80 104.80
Site moments in Bohr magnetons follow the coordinates.
Atoms (fractional coordinates):
Pb: 0.408 0.473 0.158  0.02
Ce: 0.482 0.254 0.377  0.82
Pb: 0.592 0.527 0.842  0.02
Pb: 0.250 0.842 0.316  0.02
Pb: 0.750 0.158 0.684  0.02
Pb: 0.500 0.000 0.000  0.01
Ce: 0.896 0.377 0.124  0.82
Pb: 0.000 0.000 0.000  0.00
Pb: 0.935 0.684 0.527  0.02
Ce: 0.228 0.124 0.746  0.82
Ce: 0.518 0.746 0.623  0.82
Ce: 0.104 0.623 0.876  0.82
Ce: 0.772 0.876 0.254  0.82
Pb: 0.065 0.316 0.473  0.02

Computed properties:
Energy relative to the elements: -0.368 eV per atom
Relative energy among the computed polymorphs: 0 meV/atom
Crystal system: trigonal
Calculated total energy: -70.42 eV/cell


DFT (GGA-PBE) results for crystalline RbBi12Pt4 at its relaxed geometry.

Lattice parameters (Å, degrees): 8.714 8.714 8.714 109.47 109.47 109.47
Atoms (fractional coordinates):
Bi: 0.342 0.502 0.160
Bi: 0.160 0.342 0.502
Rb: 0.000 0.000 0.000
Bi: 0.840 0.658 0.498
Bi: 0.840 0.342 0.182
Bi: 0.502 0.160 0.342
Bi: 0.498 0.840 0.658
Pt: 0.500 0.500 0.500
Pt: 0.000 0.500 0.000
Bi: 0.818 0.160 0.658
Pt: 0.000 0.000 0.500
Bi: 0.658 0.818 0.160
Bi: 0.160 0.658 0.818
Bi: 0.342 0.182 0.840
Bi: 0.182 0.840 0.342
Bi: 0.658 0.498 0.840
Pt: 0.500 0.000 0.000

Computed properties:
Energy relative to the elements: -0.225 eV per atom
Crystal system: cubic
Calculated total energy: -75.53 eV/cell


DFT (GGA-PBE) results for crystalline ScCdB at its relaxed geometry.

Lattice parameters (Å, degrees): 9.678 3.155 7.488 90.00 90.00 90.00
Atoms (fractional coordinates):
Cd: 0.250 0.250 0.577
B: 0.000 0.500 0.000
Cd: 0.250 0.750 0.077
B: 0.000 0.000 0.000
B: 0.500 0.500 0.500
Sc: 0.004 0.250 0.308
B: 0.500 0.000 0.500
Sc: 0.496 0.750 0.808
Sc: 0.504 0.250 0.192
Cd: 0.750 0.750 0.423
Cd: 0.750 0.250 0.923
Sc: 0.996 0.750 0.692

Computed properties:
Energy relative to the elements: 0.025 eV per atom
Relative energy among the computed polymorphs: 515 meV/atom
Crystal system: orthorhombic
Calculated total energy: -55.39 eV/cell


DFT (GGA-PBE) results for crystalline HfCuSeBr2 at its relaxed geometry.

Lattice parameters (Å, degrees): 5.265 5.265 5.150 90.00 90.00 90.00
Atoms (fractional coordinates):
Hf: 0.000 0.000 0.000
Cu: 0.500 0.500 0.500
Se: 0.000 0.000 0.500
Br: 0.500 0.000 0.000
Br: 0.000 0.500 0.000

Computed properties:
E_form (uncorrected): -1.23 eV per formula unit
Relative energy among the computed polymorphs: 0 meV/atom
Crystal system: tetragonal
Calculated total energy: -22.11 eV/cell


DFT (GGA-PBE) results for crystalline PaReSi2Tc at its relaxed geometry.

Lattice parameters (Å, degrees): 4.177 4.177 5.730 111.38 111.38 90.00
Atoms (fractional coordinates):
Si: 0.623 0.623 0.245
Pa: 0.000 0.000 0.000
Re: 0.250 0.750 0.500
Tc: 0.750 0.250 0.500
Si: 0.377 0.377 0.755

Computed properties:
E_form (uncorrected): -2.57 eV per formula unit
Crystal system: tetragonal
Calculated total energy: -45.73 eV/cell


DFT (GGA-PBE) results for crystalline Ba2VGaN4 at its relaxed geometry.

Lattice parameters (Å, degrees): 4.828 6.311 10.464 84.94 76.66 67.51
Atoms (fractional coordinates):
N: 0.875 0.686 0.597
N: 0.528 0.314 0.597
N: 0.159 0.314 0.403
V: 0.500 0.000 0.000
V: 0.250 0.500 0.500
N: 0.222 0.186 0.903
Ba: 0.175 0.000 0.650
Ba: 0.575 0.500 0.850
Ba: 0.825 0.000 0.350
N: 0.591 0.186 0.097
Ba: 0.925 0.500 0.150
N: 0.875 0.814 0.903
Ga: 0.750 0.500 0.500
N: 0.312 0.814 0.097
N: 0.438 0.686 0.403
Ga: 0.000 0.000 0.000

Computed properties:
E_form (uncorrected): -5.34 eV per formula unit
Crystal system: orthorhombic
Calculated total energy: -109.27 eV/cell


DFT (GGA-PBE) results for crystalline HfZn2Cl at its relaxed geometry.

Lattice parameters (Å, degrees): 7.927 7.927 6.156 49.92 49.92 90.00
Atoms (fractional coordinates):
Zn: 0.635 0.125 0.250
Zn: 0.875 0.885 0.750
Zn: 0.375 0.365 0.750
Hf: 0.000 0.000 0.000
Hf: 0.750 0.250 0.500
Cl: 0.250 0.750 0.500
Cl: 0.500 0.500 0.000
Zn: 0.115 0.625 0.250

Computed properties:
E_form (uncorrected): 0.31 eV per formula unit
Relative energy among the computed polymorphs: 0 meV/atom
Crystal system: tetragonal
Calculated total energy: -28.07 eV/cell


DFT (GGA-PBE) results for crystalline Tb2SmReN4 at its relaxed geometry.

Lattice parameters (Å, degrees): 3.460 6.124 11.678 90.00 90.00 106.41
Atoms (fractional coordinates):
N: 0.265 0.529 0.131
Tb: 0.369 0.737 0.961
N: 0.735 0.471 0.631
N: 0.265 0.529 0.369
Tb: 0.631 0.263 0.461
N: 0.000 0.000 0.000
Sm: 0.123 0.247 0.750
N: 0.441 0.882 0.750
Tb: 0.631 0.263 0.039
Re: 0.859 0.717 0.750
N: 0.000 0.000 0.500
Re: 0.141 0.283 0.250
N: 0.735 0.471 0.869
N: 0.559 0.118 0.250
Tb: 0.369 0.737 0.539
Sm: 0.877 0.753 0.250

Computed properties:
E_form (uncorrected): -8.12 eV per formula unit
Crystal system: orthorhombic
Calculated total energy: -135.71 eV/cell


DFT (GGA-PBE) results for crystalline LiAcPS4 at its relaxed geometry.

Lattice parameters (Å, degrees): 6.668 6.668 6.104 123.10 123.10 90.00
Atoms (fractional coordinates):
S: 0.152 0.092 0.673
S: 0.521 0.582 0.673
Li: 0.500 0.500 0.000
S: 0.418 0.848 0.327
Ac: 0.000 0.000 0.000
P: 0.250 0.750 0.500
S: 0.908 0.479 0.327

Computed properties:
E_form (uncorrected): -6.79 eV per formula unit
Crystal system: tetragonal
Calculated total energy: -34.73 eV/cell


DFT (GGA-PBE) results for crystalline LiCeGaI6 at its relaxed geometry.

Lattice parameters (Å, degrees): 7.662 7.662 14.447 90.00 90.00 120.00
Site moments in Bohr magnetons follow the coordinates.
Atoms (fractional coordinates):
I: 0.002 0.351 0.130  -0.01
I: 0.650 0.649 0.630  -0.01
I: 0.998 0.649 0.870  -0.01
I: 0.650 0.002 0.870  -0.01
Ce: 0.667 0.333 0.250  0.16
I: 0.351 0.350 0.870  -0.01
I: 0.649 0.650 0.130  -0.01
Li: 0.333 0.667 0.250  0.00
I: 0.351 0.002 0.630  -0.01
I: 0.998 0.350 0.630  -0.01
I: 0.350 0.351 0.370  -0.01
I: 0.350 0.998 0.130  -0.01
Ga: 0.000 0.000 0.500  0.00
I: 0.649 0.998 0.370  -0.01
Li: 0.667 0.333 0.750  0.00
Ce: 0.333 0.667 0.750  0.16
Ga: 0.000 0.000 0.000  0.00
I: 0.002 0.650 0.370  -0.01

Computed properties:
E_form (uncorrected): -8.72 eV per formula unit
Crystal system: trigonal
Calculated total energy: -57.79 eV/cell


DFT (GGA-PBE) results for crystalline CdOs2I4 at its relaxed geometry.

Lattice parameters (Å, degrees): 5.783 5.783 8.111 69.12 69.12 90.00
Atoms (fractional coordinates):
Os: 0.421 0.421 0.158
Os: 0.579 0.579 0.842
I: 0.000 0.500 0.000
I: 0.231 0.231 0.537
Cd: 0.000 0.000 0.000
I: 0.769 0.769 0.463
I: 0.500 0.000 0.000

Computed properties:
E_form (uncorrected): 6.04 eV per formula unit
Crystal system: tetragonal
Calculated total energy: -23.54 eV/cell


DFT (GGA-PBE) results for crystalline BaZrBr2 at its relaxed geometry.

Lattice parameters (Å, degrees): 5.750 5.750 5.750 60.00 60.00 60.00
Site moments in Bohr magnetons follow the coordinates.
Atoms (fractional coordinates):
Zr: 0.750 0.750 0.750  1.89
Br: 0.000 0.000 0.000  0.04
Ba: 0.500 0.500 0.500  0.34
Br: 0.250 0.250 0.250  0.02

Computed properties:
E_form (uncorrected): -0.39 eV per formula unit
Relative energy among the computed polymorphs: 714 meV/atom
Crystal system: cubic
Calculated total energy: -14.20 eV/cell


DFT (GGA-PBE) results for crystalline Sb2AsPb at its relaxed geometry.

Lattice parameters (Å, degrees): 5.125 3.212 6.644 90.11 90.00 90.00
Atoms (fractional coordinates):
Sb: 0.000 0.251 0.001
Sb: 0.000 0.249 0.499
As: 0.500 0.250 0.250
Pb: 0.500 0.750 0.750

Computed properties:
E_form (uncorrected): 0.85 eV per formula unit
Relative energy among the computed polymorphs: 187 meV/atom
Crystal system: monoclinic
Calculated total energy: -15.76 eV/cell


DFT (GGA-PBE) results for crystalline BaIn12Cu4 at its relaxed geometry.

Lattice parameters (Å, degrees): 8.292 8.292 8.292 109.47 109.47 109.47
Atoms (fractional coordinates):
In: 0.831 0.659 0.490
In: 0.510 0.169 0.341
Cu: 0.000 0.500 0.000
In: 0.659 0.828 0.169
In: 0.341 0.510 0.169
In: 0.169 0.659 0.828
In: 0.831 0.341 0.172
In: 0.490 0.831 0.659
In: 0.172 0.831 0.341
Cu: 0.500 0.000 0.000
In: 0.169 0.341 0.510
Ba: 0.000 0.000 0.000
In: 0.341 0.172 0.831
Cu: 0.000 0.000 0.500
In: 0.828 0.169 0.659
In: 0.659 0.490 0.831
Cu: 0.500 0.500 0.500

Computed properties:
Energy relative to the elements: 0.008 eV per atom
Crystal system: cubic
Calculated total energy: -51.03 eV/cell


DFT (GGA-PBE) results for crystalline Y7Ho2Tm at its relaxed geometry.

Lattice parameters (Å, degrees): 10.106 10.106 3.526 90.00 90.00 108.29
Atoms (fractional coordinates):
Y: 0.323 0.677 0.000
Tm: 0.000 0.000 0.000
Y: 0.874 0.612 0.500
Y: 0.388 0.126 0.500
Y: 0.500 0.500 0.500
Y: 0.126 0.388 0.500
Y: 0.677 0.323 0.000
Ho: 0.832 0.168 0.500
Ho: 0.168 0.832 0.500
Y: 0.612 0.874 0.500

Computed properties:
Energy relative to the elements: 0.436 eV per atom
Relative energy among the computed polymorphs: 0 meV/atom
Crystal system: orthorhombic
Calculated total energy: -54.51 eV/cell


DFT (GGA-PBE) results for crystalline Ac2SnTe5 at its relaxed geometry.

Lattice parameters (Å, degrees): 6.588 8.800 14.486 90.00 90.00 111.98
Atoms (fractional coordinates):
Te: 0.297 0.594 0.750
Te: 0.695 0.389 0.594
Ac: 0.170 0.340 0.923
Te: 0.969 0.938 0.907
Te: 0.031 0.062 0.093
Sn: 0.185 0.371 0.250
Sn: 0.815 0.629 0.750
Te: 0.703 0.406 0.250
Ac: 0.830 0.660 0.423
Ac: 0.830 0.660 0.077
Te: 0.305 0.611 0.406
Ac: 0.170 0.340 0.577
Te: 0.969 0.938 0.593
Te: 0.305 0.611 0.094
Te: 0.031 0.062 0.407
Te: 0.695 0.389 0.906

Computed properties:
E_form (uncorrected): -7.34 eV per formula unit
Crystal system: orthorhombic
Calculated total energy: -70.54 eV/cell


DFT (GGA-PBE) results for crystalline Tl3Ga2Cl8 at its relaxed geometry.

Lattice parameters (Å, degrees): 7.282 7.282 9.846 68.30 68.30 60.00
Atoms (fractional coordinates):
Ga: 0.405 0.405 0.786
Tl: 0.000 0.000 0.000
Cl: 0.320 0.320 0.041
Cl: 0.735 0.735 0.304
Ga: 0.595 0.595 0.214
Cl: 0.680 0.680 0.959
Cl: 0.775 0.265 0.696
Tl: 0.797 0.797 0.608
Tl: 0.203 0.203 0.392
Cl: 0.225 0.735 0.304
Cl: 0.735 0.225 0.304
Cl: 0.265 0.265 0.696
Cl: 0.265 0.775 0.696

Computed properties:
E_form (uncorrected): -13.00 eV per formula unit
Crystal system: trigonal
Calculated total energy: -40.92 eV/cell


DFT (GGA-PBE) results for crystalline AcGaGe3 at its relaxed geometry.

Lattice parameters (Å, degrees): 4.666 6.747 8.658 90.00 90.00 113.43
Atoms (fractional coordinates):
Ge: 0.319 0.800 0.500
Ge: 0.319 0.800 0.000
Ac: 0.008 0.007 0.750
Ge: 0.320 0.597 0.750
Ga: 0.721 0.417 0.750
Ge: 0.681 0.200 0.500
Ge: 0.680 0.403 0.250
Ac: 0.992 0.993 0.250
Ge: 0.681 0.200 0.000
Ga: 0.279 0.583 0.250

Computed properties:
Energy relative to the elements: -0.324 eV per atom
Relative energy among the computed polymorphs: 0 meV/atom
Crystal system: monoclinic
Calculated total energy: -45.22 eV/cell